No. 1
Below is Ce2Cd6Au3 after structural relaxation, with properties calculated at the PBE level.

abc: 8.396 8.396 4.379
angles: 90.00 90.00 120.00
Fractional positions:
Ce (0.333, 0.667, 0.000)
Ce (0.667, 0.333, 0.000)
Cd (0.000, 0.201, 0.000)
Cd (0.000, 0.726, 0.500)
Cd (0.201, 0.000, 0.000)
Cd (0.274, 0.274, 0.500)
Cd (0.726, 0.000, 0.500)
Cd (0.799, 0.799, 0.000)
Au (0.000, 0.404, 0.500)
Au (0.404, 0.000, 0.500)
Au (0.596, 0.596, 0.500)

Computed properties:
Magnetization ... 2.70 Bohr magnetons per cell
DFT formation energy ... -0.276 eV/atom

No. 2
Below is Pr2SmGe after structural relaxation, with properties calculated at the PBE level.

abc: 9.601 9.601 9.601
angles: 24.77 24.77 24.77
Fractional positions:
Pr (0.000, 0.000, 0.000)
Pr (0.207, 0.207, 0.207)
Sm (0.769, 0.769, 0.769)
Ge (0.604, 0.604, 0.604)

Computed properties:
Magnetization ... 0.49 Bohr magnetons per cell
DFT formation energy ... -0.206 eV/atom
Distance to the lowest polymorph of the same formula ... 131 meV per atom

No. 3
Below is AcLuSn after structural relaxation, with properties calculated at the PBE level.

abc: 3.701 3.701 8.420
angles: 90.00 90.00 120.00
Fractional positions:
Ac (0.000, 0.000, 0.000)
Lu (0.667, 0.333, 0.372)
Sn (0.333, 0.667, 0.661)

Computed properties:
Magnetization ... 0.00 Bohr magnetons per cell
DFT formation energy ... -0.154 eV/atom
Distance to the lowest polymorph of the same formula ... 177 meV per atom